The following is a PBE-GGA calculation of BaGdPd4 after structural relaxation, from the Alexandria database.

Results
The value obtained for the total DFT energy (no corrections) is -6.727 eV/atom. The density of states at the Fermi level is 1.268 states/eV/atom. As for the crystal system: cubic. Its formation energy is -0.5982 eV per atom.

a b c (Å): 7.9220 7.9220 7.9220
angles (deg): 90.00 90.00 90.00
Last column: nearest neighbours and their distance in Å.
Space group F-43m (No. 216)
Inequivalent atoms, fractional coordinates:
Ba1 0.0000 0.0000 0.0000 [4 per cell]  12 Pd 3.29, 4 Gd 3.43
Gd1 0.2500 0.2500 0.2500 [4 per cell]  12 Pd 3.28, 4 Ba 3.43
Pd1 0.1242 0.1242 0.6242 [16 per cell]  6 Pd 2.78-2.82